Compound: TaAlCo2
Source: the Open Quantum Materials Database
Functional: PBE
Structure: relaxed

Values from the calculation:
Its calculated total energy is -7.4341 eV/atom. As for the crystal system: cubic. As for the space-group type: F-43m. The size of the total moment comes out at 0.0 Bohr magnetons per cell.

Cell: 4.2063 4.2063 4.2063 Å, 60.00 60.00 60.00°
Last column: nearest neighbours and their distance in Å.
Element x y z (fractional)
Ta1 0.0000 0.0000 0.0000  4 Co 2.58, 4 Al 2.58
Al1 0.7500 0.7500 0.7500  4 Co 2.58, 4 Ta 2.58
Co1 0.2500 0.2500 0.2500  4 Co 2.58, 4 Ta 2.58
Co2 0.5000 0.5000 0.5000  4 Al 2.58, 4 Co 2.58

Compound: TaAlCo2
Source: the Open Quantum Materials Database
Functional: PBE
Structure: relaxed

Values from the calculation:
Its calculated total energy is -7.1912 eV/atom. As for the crystal system: hexagonal. As for the space-group type: P6_3/mmc. The size of the total moment comes out at 3.0 Bohr magnetons per cell.

Cell: 4.3458 4.3458 6.7664 Å, 90.00 90.00 120.00°
Last column: nearest neighbours and their distance in Å.
Element x y z (fractional)
Ta1 0.0000 0.0000 0.2500  3 Al 2.51, 6 Co 2.75
Ta2 0.0000 0.0000 0.7500  3 Al 2.51, 6 Co 2.75
Al1 0.3333 0.6667 0.2500  2 Co 2.26, 3 Ta 2.51
Al2 0.6667 0.3333 0.7500  2 Co 2.26, 3 Ta 2.51
Co1 0.3333 0.6667 0.5844  1 Co 2.24, 1 Al 2.26
Co2 0.3333 0.6667 0.9156  1 Co 2.24, 1 Al 2.26
Co3 0.6667 0.3333 0.0844  1 Co 2.24, 1 Al 2.26
Co4 0.6667 0.3333 0.4156  1 Co 2.24, 1 Al 2.26

Compound: TaAlCo2
Source: the Open Quantum Materials Database
Functional: PBE
Structure: relaxed

Values from the calculation:
Its calculated total energy is -7.7286 eV/atom. As for the crystal system: hexagonal. As for the space-group type: P6_3/mmc. The size of the total moment comes out at 0.3 Bohr magnetons per cell.

Cell: 4.1433 4.1433 7.2918 Å, 90.00 90.00 120.00°
Last column: nearest neighbours and their distance in Å.
Element x y z (fractional)
Ta1 0.0000 0.0000 0.0000  6 Co 2.48
Ta2 0.0000 0.0000 0.5000  6 Co 2.48
Al1 0.3333 0.6667 0.2500  8 Co 2.50-2.65
Al2 0.6667 0.3333 0.7500  8 Co 2.50-2.65
Co1 0.3333 0.6667 0.5922  1 Co 2.30, 3 Ta 2.48, 1 Al 2.50
Co2 0.3333 0.6667 0.9078  1 Co 2.30, 3 Ta 2.48, 1 Al 2.50
Co3 0.6667 0.3333 0.0922  1 Co 2.30, 3 Ta 2.48, 1 Al 2.50
Co4 0.6667 0.3333 0.4078  1 Co 2.30, 3 Ta 2.48, 1 Al 2.50

Compound: Ta2AlCo
Source: the Open Quantum Materials Database
Functional: PBE
Structure: relaxed

Values from the calculation:
Its calculated total energy is -8.5307 eV/atom. As for the crystal system: cubic. As for the space-group type: F-43m. The size of the total moment comes out at 2.0 Bohr magnetons per cell.

Cell: 4.4367 4.4367 4.4367 Å, 60.00 60.00 60.00°
Last column: nearest neighbours and their distance in Å.
Element x y z (fractional)
Ta1 0.0000 0.0000 0.0000  4 Co 2.72, 4 Ta 2.72
Ta2 0.2500 0.2500 0.2500  4 Ta 2.72, 4 Al 2.72
Al1 0.5000 0.5000 0.5000  4 Co 2.72, 4 Ta 2.72
Co1 0.7500 0.7500 0.7500  4 Ta 2.72, 4 Al 2.72

Compound: TaAlCo2
Source: the Open Quantum Materials Database
Functional: PBE
Structure: relaxed

Values from the calculation:
Its calculated total energy is -7.7999 eV/atom. As for the crystal system: tetragonal. As for the space-group type: P4/mmm. The size of the total moment comes out at 1.5 Bohr magnetons per cell.

Cell: 4.1947 4.1947 2.9842 Å, 90.00 90.00 90.00°
Last column: nearest neighbours and their distance in Å.
Element x y z (fractional)
Ta1 0.0000 0.0000 0.0000  8 Co 2.57
Al1 0.5000 0.5000 0.0000  8 Co 2.57
Co1 0.0000 0.5000 0.5000  4 Ta 2.57, 4 Al 2.57
Co2 0.5000 0.0000 0.5000  4 Ta 2.57, 4 Al 2.57

Compound: TaAlCo2
Source: the Open Quantum Materials Database
Functional: PBE
Structure: relaxed

Values from the calculation:
Its calculated total energy is -7.8419 eV/atom. As for the crystal system: tetragonal. As for the space-group type: P4/mmm. The size of the total moment comes out at 0.0 Bohr magnetons per cell.

Cell: 2.8037 2.8037 6.5236 Å, 90.00 90.00 90.00°
Last column: nearest neighbours and their distance in Å.
Element x y z (fractional)
Ta1 0.0000 0.0000 0.0000  8 Co 2.66, 4 Ta 2.80
Al1 0.0000 0.0000 0.5000  8 Co 2.47
Co1 0.5000 0.5000 0.2729  4 Al 2.47, 4 Ta 2.66
Co2 0.5000 0.5000 0.7271  4 Al 2.47, 4 Ta 2.66

> Which value of size of the total moment does entry 4 give?

2.0 Bohr magnetons per cell

Please write out number 6 again, unchanged.
Compound: TaAlCo2
Source: the Open Quantum Materials Database
Functional: PBE
Structure: relaxed

Values from the calculation:
Its calculated total energy is -7.8419 eV/atom. As for the crystal system: tetragonal. As for the space-group type: P4/mmm. The size of the total moment comes out at 0.0 Bohr magnetons per cell.

Cell: 2.8037 2.8037 6.5236 Å, 90.00 90.00 90.00°
Last column: nearest neighbours and their distance in Å.
Element x y z (fractional)
Ta1 0.0000 0.0000 0.0000  8 Co 2.66, 4 Ta 2.80
Al1 0.0000 0.0000 0.5000  8 Co 2.47
Co1 0.5000 0.5000 0.2729  4 Al 2.47, 4 Ta 2.66
Co2 0.5000 0.5000 0.7271  4 Al 2.47, 4 Ta 2.66

> The lowest calculated total energy belongs to which entry?

Ta2AlCo